A plane-wave DFT calculation with PBE+U was carried out for V2CuH3O7 after structural relaxation.

Symmetry   P-1, No. 2
Energy   -6.2887 eV per atom
Magnetization   1.93 Bohr magnetons per cell

CIF file:
```
data_V2CuH3O7
_space_group_name_H-M_alt 'P 1'
_space_group_IT_number 1
_cell_length_a 5.162
_cell_length_b 5.397
_cell_length_c 10.495
_cell_angle_alpha 100.22
_cell_angle_beta 101.55
_cell_angle_gamma 100.89
loop_
_space_group_symop_operation_xyz
'x,y,z'
loop_
_atom_site_label
_atom_site_type_symbol
_atom_site_fract_x
_atom_site_fract_y
_atom_site_fract_z
O1 O 0.708 0.227 0.012
O2 O 0.155 0.223 0.816
O3 O 0.292 0.773 0.988
O4 O 0.432 0.366 0.629
O5 O 0.060 0.284 0.343
O6 O 0.940 0.716 0.657
H1 H 0.290 0.825 0.418
H2 H 0.089 0.711 0.961
Cu1 Cu 0.500 0.500 0.000
O7 O 0.496 0.919 0.717
V1 V 0.647 0.658 0.724
H3 H 0.911 0.289 0.039
V2 V 0.182 0.072 0.670
O8 O 0.737 0.639 0.888
V3 V 0.353 0.342 0.276
V4 V 0.818 0.928 0.330
O9 O 0.263 0.361 0.112
Cu2 Cu 0.000 0.500 0.500
H4 H 0.337 0.894 0.076
O10 O 0.131 0.837 0.455
H5 H 0.710 0.175 0.582
O11 O 0.845 0.777 0.184
O12 O 0.869 0.163 0.545
O13 O 0.568 0.634 0.371
H6 H 0.663 0.106 0.924
O14 O 0.504 0.081 0.283
```